Material: Ca2Sc2P
Method: DFT, PBE
State: relaxed

Computed properties:
Its volume is 29.23 A^3/atom. For the formation energy, the calculation gives 0.102 eV/atom. Its total energy is -43.1 eV for the cell shown. As for the relative energy among the computed polymorphs: 0.44 eV/f.u.

```
data_Ca2Sc2P
_chemical_formula_sum 'Ca4 Sc4 P2'
_cell_length_a 7.370
_cell_length_b 7.370
_cell_length_c 5.382
_cell_angle_alpha 90.00
_cell_angle_beta 90.00
_cell_angle_gamma 90.00
_space_group_name_H-M_alt 'P 4/m b m'
_space_group_IT_number 127
_space_group_name_Hall '-P 4 2ab'
loop_
_atom_site_label
_atom_site_fract_x
_atom_site_fract_y
_atom_site_fract_z
Ca1 0.162 0.338 0.000
Sc1 0.147 0.647 0.500
P1 0.000 0.000 0.000
```

---

Material: NaLi2NpCl6
Method: DFT, PBE
State: relaxed

Computed properties:
Its volume is 24.50 A^3/atom. Its formation energy from raw total energies is -1.752 eV/atom. Its total energy is -140.1 eV for the cell shown.

```
data_NaLi2NpCl6
_chemical_formula_sum 'Na3 Li6 Np3 Cl18'
_cell_length_a 6.7616
_cell_length_b 6.7616
_cell_length_c 18.5628
_cell_angle_alpha 90.00
_cell_angle_beta 90.00
_cell_angle_gamma 120.00
_space_group_name_H-M_alt 'R 3'
_space_group_IT_number 146
_space_group_name_Hall 'R 3'
loop_
_atom_site_label
_atom_site_fract_x
_atom_site_fract_y
_atom_site_fract_z
Na1 0.0000 0.0000 0.0000
Li1 0.0000 0.0000 0.2955
Li2 0.0000 0.0000 0.7950
Np1 0.0000 0.0000 0.4942
Cl1 0.0082 0.3646 0.5614
Cl2 0.0122 0.6290 0.0619
```

---

Material: Ho4PtBr5
Method: DFT, PBE
State: relaxed

Computed properties:
Its volume is 31.59 A^3/atom. Its formation energy from raw total energies is -1.510 eV/atom. Its total energy is -95.6 eV for the cell shown.

```
data_Ho4PtBr5
_chemical_formula_sum 'Ho8 Pt2 Br10'
_cell_length_a 18.833
_cell_length_b 4.024
_cell_length_c 8.518
_cell_angle_alpha 90.00
_cell_angle_beta 101.86
_cell_angle_gamma 90.00
_space_group_name_H-M_alt 'C 1 2/m 1'
_space_group_IT_number 12
loop_
_space_group_symop_operation_xyz
'x,y,z'
'-x,-y,-z'
'-x,y,-z'
'x,-y,z'
'x+1/2,y+1/2,z'
'-x+1/2,-y+1/2,-z'
'-x+1/2,y+1/2,-z'
'x+1/2,-y+1/2,z'
loop_
_atom_site_label
_atom_site_fract_x
_atom_site_fract_y
_atom_site_fract_z
Ho1 0.003 0.000 0.218
Ho2 0.148 0.500 0.074
Pt1 0.000 0.500 0.000
Br1 0.000 0.500 0.500
Br2 0.169 0.000 0.325
Br3 0.181 0.000 0.847
```

---

Material: Nd8Ru2Rh
Method: DFT, PBE
State: relaxed

Computed properties:
Its volume is 27.81 A^3/atom. For the formation energy, the calculation gives -0.203 eV/atom. Its total energy is -132.5 eV for the cell shown. As for the relative energy among the computed polymorphs: 0.00 eV/f.u.

```
data_Nd8Ru2Rh
_chemical_formula_sum 'Nd16 Ru4 Rh2'
_cell_length_a 18.073
_cell_length_b 5.022
_cell_length_c 6.997
_cell_angle_alpha 90.00
_cell_angle_beta 105.57
_cell_angle_gamma 90.00
_space_group_name_H-M_alt 'C 1 2/m 1'
_space_group_IT_number 12
loop_
_space_group_symop_operation_xyz
'x,y,z'
'-x,-y,-z'
'-x,y,-z'
'x,-y,z'
'x+1/2,y+1/2,z'
'-x+1/2,-y+1/2,-z'
'-x+1/2,y+1/2,-z'
'x+1/2,-y+1/2,z'
loop_
_atom_site_label
_atom_site_fract_x
_atom_site_fract_y
_atom_site_fract_z
Nd1 0.032 0.000 0.289
Nd2 0.095 0.500 0.954
Nd3 0.170 0.500 0.469
Nd4 0.204 0.000 0.819
Ru1 0.187 0.000 0.207
Rh1 0.000 0.500 0.500
```